17
Lattice="-2.303 -2.162 -4.594 5.538 -0.081 0.646 -0.861 -11.662 5.920" Properties=species:S:1:pos:R:3 comment="Sr2Zn9Au6, optimized geometry, DFT PBE-GGA" vol_a3_per_cell=352.9 delta_e_f_mev_per_atom=-304 dos_ef_per_ev_cell=6.0 pbc="T T T"
Au 0.027 -5.309 -0.898
Au 2.641 -4.615 0.849
Au -0.267 -9.291 1.123
Au 2.347 -8.597 2.870
Au 2.924 -0.775 -1.101
Au 0.311 -1.469 -2.848
Zn -1.582 -6.912 0.663
Zn 2.631 -1.908 1.271
Zn -1.289 -2.948 -1.349
Zn 2.338 -5.872 3.283
Zn 2.046 -9.835 5.296
Zn -1.874 -10.876 2.675
Zn 1.187 -6.953 0.986
Zn 0.894 -10.917 2.998
Zn 1.480 -2.989 -1.026
Sr -0.283 -3.837 1.948
Sr -0.578 -7.825 3.972